(1)
# LaCoCl

A geometry-optimized LaCoCl structure (PBE, the Alexandria database).

Output
Crystal system: cubic
SG: F-43m
ρ, Mg/m³: 6.00
Volume, Å³/f.u.: 64.61
Raw formation energy, eV/f.u.: -0.668
Total DFT energy (no corrections), eV/f.u.: -14.55

abc: 4.504 4.504 4.504
angles: 60.00 60.00 60.00
Site moments in Bohr magnetons follow the coordinates.
Sites, in units of the cell vectors:
Co 0.250 0.250 0.250  0.32
Cl 0.500 0.500 0.500  0.05
La 0.000 0.000 0.000  0.04



(2)
# CeNd6Y5

A geometry-optimized CeNd6Y5 structure (PBE, the Alexandria database).

Output
Crystal system: triclinic
SG: P-1
ρ, Mg/m³: 5.95
Volume, Å³/f.u.: 404.49
Calculated formation energy, kJ/mol of formula units: 39
Total DFT energy (no corrections), eV/f.u.: -66.46

abc: 6.264 7.269 11.411
angles: 108.52 122.78 89.98
Site moments in Bohr magnetons follow the coordinates.
Sites, in units of the cell vectors:
Nd 0.835 0.082 0.670  0.00
Y 0.335 0.833 0.666  0.00
Nd 0.500 0.755 0.000  0.01
Nd 0.165 0.918 0.330  0.00
Nd 0.500 0.245 0.000  0.01
Nd 0.835 0.588 0.669  0.00
Nd 0.165 0.412 0.331  0.00
Ce 0.000 0.000 0.000  0.79
Y 0.665 0.167 0.334  0.00
Y 0.000 0.500 0.000  0.02
Y 0.332 0.333 0.666  -0.01
Y 0.668 0.667 0.334  -0.01



(3)
# Cs2HgPd

A geometry-optimized Cs2HgPd structure (PBE, the Alexandria database).

Output
Crystal system: tetragonal
SG: P4/mmm
ρ, Mg/m³: 5.65
Volume, Å³/f.u.: 168.22
Calculated formation energy, kJ/mol of formula units: 23
Energy above the lowest structure with this stoichiometry, meV per atom: 222
Total DFT energy (no corrections), eV/f.u.: -6.97

abc: 4.271 4.271 9.223
angles: 90.00 90.00 90.00
Sites, in units of the cell vectors:
Hg 0.500 0.500 0.500
Cs 0.000 0.000 0.790
Pd 0.500 0.500 0.000
Cs 0.000 0.000 0.210



(4)
# TaMnBe2

A geometry-optimized TaMnBe2 structure (PBE, the Alexandria database).

Output
Crystal system: trigonal
SG: R3m
ρ, Mg/m³: 8.40
Volume, Å³/f.u.: 50.19
Calculated formation energy, kJ/mol of formula units: 159
Energy above the lowest structure with this stoichiometry, meV per atom: 535
Total DFT energy (no corrections), eV/f.u.: -26.82

abc: 8.370 8.370 8.370
angles: 18.25 18.25 18.25
Site moments in Bohr magnetons follow the coordinates.
Sites, in units of the cell vectors:
Mn 0.510 0.510 0.510  1.48
Be 0.991 0.991 0.991  0.00
Be 0.251 0.251 0.251  -0.03
Ta 0.748 0.748 0.748  -0.01



(5)
# Be2CrAsPd

A geometry-optimized Be2CrAsPd structure (PBE, the Alexandria database).

Output
Crystal system: tetragonal
SG: P4/mmm
ρ, Mg/m³: 5.45
Volume, Å³/f.u.: 76.65
Calculated formation energy, kJ/mol of formula units: 357
Total DFT energy (no corrections), eV/f.u.: -23.21

abc: 4.167 4.415 4.167
angles: 90.00 90.00 90.00
Site moments in Bohr magnetons follow the coordinates.
Sites, in units of the cell vectors:
As 0.000 0.500 0.000  -0.05
Be 0.000 0.000 0.500  0.00
Cr 0.000 0.000 0.000  1.10
Pd 0.500 0.500 0.500  0.14
Be 0.500 0.000 0.000  0.02



(6)
# SnTe2P

A geometry-optimized SnTe2P structure (PBE, the Alexandria database).

Output
Crystal system: trigonal
SG: R-3m
ρ, Mg/m³: 5.70
Volume, Å³/f.u.: 117.96
Raw formation energy, eV/f.u.: 0.801
Energy above the lowest structure with this stoichiometry, meV per atom: 0
Total DFT energy (no corrections), eV/f.u.: -14.90

abc: 9.887 9.887 9.887
angles: 21.91 21.91 21.91
Sites, in units of the cell vectors:
P 0.500 0.500 0.500
Sn 0.000 0.000 0.000
Te 0.892 0.892 0.892
Te 0.108 0.108 0.108